No. 1
# Sc2ZnPd2 PBEsol optimized geometry
data_Sc2ZnPd2
_chemical_formula_sum 'Sc4 Zn2 Pd4'
_cell_length_a 3.712
_cell_length_b 3.712
_cell_length_c 13.727
_cell_angle_alpha 90.00
_cell_angle_beta 90.00
_cell_angle_gamma 90.00
_symmetry_space_group_name_H-M 'I 4/m m m'
_symmetry_Int_Tables_number 139
_symmetry_space_group_name_Hall '-I 4 2'
loop_
_atom_site_label
_atom_site_fract_x
_atom_site_fract_y
_atom_site_fract_z
_atom_site_occupancy
Sc1 0.000 0.000 0.110 1
Zn1 0.000 0.000 0.500 1
Pd1 0.000 0.500 0.250 1
# **E_tot**: -5.745 eV/atom
# **Formation enthalpy at 0 K**: -0.403 eV per atom
# **Fermi-level density of states**: 4.0 states/eV per cell

---

No. 2
# YSnAuI2 PBEsol optimized geometry
data_YSnAuI2
_chemical_formula_sum 'Y1 Sn1 Au1 I2'
_cell_length_a 5.660
_cell_length_b 5.660
_cell_length_c 6.273
_cell_angle_alpha 90.00
_cell_angle_beta 90.00
_cell_angle_gamma 90.00
_symmetry_space_group_name_H-M 'P 4/m m m'
_symmetry_Int_Tables_number 123
_symmetry_space_group_name_Hall '-P 4 2'
loop_
_atom_site_label
_atom_site_fract_x
_atom_site_fract_y
_atom_site_fract_z
_atom_site_occupancy
Y1 0.000 0.000 0.000 1
Sn1 0.000 0.000 0.500 1
Au1 0.500 0.500 0.500 1
I1 0.000 0.500 0.000 1
# **E_tot**: -3.608 eV/atom
# **Uncorrected formation energy**: 0.50 eV per formula unit
# **Fermi-level density of states**: 2.3 states/eV per cell

---

No. 3
# BeAlW2 PBEsol optimized geometry
data_BeAlW2
_chemical_formula_sum 'Be1 Al1 W2'
_cell_length_a 3.737
_cell_length_b 3.737
_cell_length_c 3.990
_cell_angle_alpha 90.00
_cell_angle_beta 90.00
_cell_angle_gamma 90.00
_symmetry_space_group_name_H-M 'P 4/m m m'
_symmetry_Int_Tables_number 123
_symmetry_space_group_name_Hall '-P 4 2'
loop_
_atom_site_label
_atom_site_fract_x
_atom_site_fract_y
_atom_site_fract_z
_atom_site_occupancy
Be1 0.000 0.000 0.000 1
Al1 0.500 0.500 0.000 1
W1 0.000 0.500 0.500 1
# **E_tot**: -8.715 eV/atom
# **Formation enthalpy at 0 K**: 0.212 eV per atom
# **Fermi-level density of states**: 2.2 states/eV per cell

---

No. 4
# Rb2SrV4O12 PBEsol optimized geometry
data_Rb2SrV4O12
_chemical_formula_sum 'Rb4 Sr2 V8 O24'
_cell_length_a 11.034
_cell_length_b 11.034
_cell_length_c 5.458
_cell_angle_alpha 90.00
_cell_angle_beta 90.00
_cell_angle_gamma 90.00
_symmetry_space_group_name_H-M 'P 4/n b m'
_symmetry_Int_Tables_number 125
loop_
_symmetry_equiv_pos_as_xyz
'x,y,z'
'-x,-y,-z'
'-y+1/2,x,z'
'y+1/2,-x,-z'
'-x+1/2,-y+1/2,z'
'x+1/2,y+1/2,-z'
'y,-x+1/2,z'
'-y,x+1/2,-z'
'x,-y+1/2,-z'
'-x,y+1/2,z'
'-y+1/2,-x+1/2,-z'
'y+1/2,x+1/2,z'
'-x+1/2,y,-z'
'x+1/2,-y,z'
'y,x,-z'
'-y,-x,z'
loop_
_atom_site_label
_atom_site_fract_x
_atom_site_fract_y
_atom_site_fract_z
_atom_site_occupancy
Rb1 0.000 0.000 0.000 1
Sr1 0.250 0.250 0.000 1
V1 0.028 0.750 0.500 1
O1 0.057 0.219 0.259 1
O2 0.122 0.622 0.571 1
# **E_tot**: -8.023 eV/atom
# **Uncorrected formation energy**: -47.01 eV per formula unit
# **Fermi-level density of states**: 0.0 states/eV per cell

---

No. 5
# Fe2Mo PBEsol optimized geometry
data_Fe2Mo
_chemical_formula_sum 'Fe16 Mo8'
_cell_length_a 4.6161
_cell_length_b 4.6161
_cell_length_c 15.1972
_cell_angle_alpha 90.00
_cell_angle_beta 90.00
_cell_angle_gamma 120.00
_symmetry_space_group_name_H-M 'P 63/m m c'
_symmetry_Int_Tables_number 194
_symmetry_space_group_name_Hall '-P 6c 2c'
loop_
_atom_site_label
_atom_site_fract_x
_atom_site_fract_y
_atom_site_fract_z
_atom_site_occupancy
Fe1 0.0000 0.5000 0.0000 1
Fe2 0.1619 0.3238 0.2500 1
Fe3 0.3333 0.6667 0.1283 1
Mo1 0.0000 0.0000 0.0910 1
Mo2 0.3333 0.6667 0.6570 1
# **E_tot**: -9.935 eV/atom
# **Formation enthalpy at 0 K**: -0.036 eV per atom
# **Fermi-level density of states**: 27.8 states/eV per cell

---

No. 6
# RbNaP2S PBEsol optimized geometry
data_RbNaP2S
_chemical_formula_sum 'Rb1 Na1 P2 S1'
_cell_length_a 6.164
_cell_length_b 6.164
_cell_length_c 5.844
_cell_angle_alpha 90.00
_cell_angle_beta 90.00
_cell_angle_gamma 90.00
_symmetry_space_group_name_H-M 'P 4/m m m'
_symmetry_Int_Tables_number 123
_symmetry_space_group_name_Hall '-P 4 2'
loop_
_atom_site_label
_atom_site_fract_x
_atom_site_fract_y
_atom_site_fract_z
_atom_site_occupancy
Rb1 0.000 0.000 0.000 1
Na1 0.500 0.500 0.500 1
P1 0.000 0.500 0.000 1
S1 0.000 0.000 0.500 1
# **E_tot**: -2.361 eV/atom
# **Uncorrected formation energy**: 6.59 eV per formula unit
# **Excess energy over the best structure of this formula in the dataset**: 614.3 meV/atom
# **Fermi-level density of states**: 3.8 states/eV per cell

---

No. 7
# CuAgPdO2 PBEsol optimized geometry
data_CuAgPdO2
_chemical_formula_sum 'Cu1 Ag1 Pd1 O2'
_cell_length_a 3.835
_cell_length_b 3.835
_cell_length_c 5.009
_cell_angle_alpha 90.00
_cell_angle_beta 90.00
_cell_angle_gamma 90.00
_symmetry_space_group_name_H-M 'P 4/m m m'
_symmetry_Int_Tables_number 123
_symmetry_space_group_name_Hall '-P 4 2'
loop_
_atom_site_label
_atom_site_fract_x
_atom_site_fract_y
_atom_site_fract_z
_atom_site_occupancy
Cu1 0.000 0.000 0.000 1
Ag1 0.500 0.500 0.500 1
Pd1 0.500 0.500 0.000 1
O1 0.000 0.500 0.500 1
# **E_tot**: -3.960 eV/atom
# **Uncorrected formation energy**: 4.30 eV per formula unit
# **Fermi-level density of states**: 3.3 states/eV per cell

---

No. 8
# TlMoN2O PBEsol optimized geometry
data_TlMoN2O
_chemical_formula_sum 'Tl1 Mo1 N2 O1'
_cell_length_a 4.147
_cell_length_b 4.147
_cell_length_c 4.090
_cell_angle_alpha 90.00
_cell_angle_beta 90.00
_cell_angle_gamma 90.00
_symmetry_space_group_name_H-M 'P 4/m m m'
_symmetry_Int_Tables_number 123
_symmetry_space_group_name_Hall '-P 4 2'
loop_
_atom_site_label
_atom_site_fract_x
_atom_site_fract_y
_atom_site_fract_z
_atom_site_occupancy
Tl1 0.000 0.000 0.000 1
Mo1 0.500 0.500 0.500 1
N1 0.000 0.500 0.000 1
O1 0.000 0.000 0.500 1
# **E_tot**: -5.406 eV/atom
# **Uncorrected formation energy**: 9.67 eV per formula unit
# **Fermi-level density of states**: 3.0 states/eV per cell

---

No. 9
# ReN2 PBEsol optimized geometry
data_ReN2
_chemical_formula_sum 'Re4 N8'
_cell_length_a 6.785
_cell_length_b 2.806
_cell_length_c 5.717
_cell_angle_alpha 90.00
_cell_angle_beta 96.21
_cell_angle_gamma 90.00
_symmetry_space_group_name_H-M 'C 1 2/m 1'
_symmetry_Int_Tables_number 12
loop_
_symmetry_equiv_pos_as_xyz
'x,y,z'
'-x,-y,-z'
'-x,y,-z'
'x,-y,z'
'x+1/2,y+1/2,z'
'-x+1/2,-y+1/2,-z'
'-x+1/2,y+1/2,-z'
'x+1/2,-y+1/2,z'
loop_
_atom_site_label
_atom_site_fract_x
_atom_site_fract_y
_atom_site_fract_z
_atom_site_occupancy
Re1 0.175 0.000 0.231 1
N1 0.097 0.500 0.471 1
N2 0.127 0.000 0.864 1
# **E_tot**: -10.172 eV/atom
# **Uncorrected formation energy**: -0.13 eV per formula unit
# **Fermi-level density of states**: 2.4 states/eV per cell

---

No. 10
# Li6Si2O7 PBEsol optimized geometry
data_Li6Si2O7
_chemical_formula_sum 'Li12 Si4 O14'
_cell_length_a 7.712
_cell_length_b 7.712
_cell_length_c 4.819
_cell_angle_alpha 90.00
_cell_angle_beta 90.00
_cell_angle_gamma 90.00
_symmetry_space_group_name_H-M 'P -4 21 m'
_symmetry_Int_Tables_number 113
loop_
_symmetry_equiv_pos_as_xyz
'x,y,z'
'y,-x,-z'
'-x,-y,z'
'-y,x,-z'
'x+1/2,-y+1/2,-z'
'y+1/2,x+1/2,z'
'-x+1/2,y+1/2,-z'
'-y+1/2,-x+1/2,z'
loop_
_atom_site_label
_atom_site_fract_x
_atom_site_fract_y
_atom_site_fract_z
_atom_site_occupancy
Li1 0.084 0.136 0.295 1
Li2 0.111 0.611 0.315 1
Si1 0.144 0.356 0.821 1
O1 0.000 0.500 0.682 1
O2 0.099 0.162 0.710 1
O3 0.130 0.370 0.158 1
# **E_tot**: -6.447 eV/atom
# **Uncorrected formation energy**: -36.67 eV per formula unit
# **Fermi-level density of states**: 0.0 states/eV per cell

---

No. 11
# Mg3Fe3P4O16 PBEsol optimized geometry
data_Mg3Fe3P4O16
_chemical_formula_sum 'Mg3 Fe3 P4 O16'
_cell_length_a 5.102
_cell_length_b 7.669
_cell_length_c 8.227
_cell_angle_alpha 88.59
_cell_angle_beta 89.88
_cell_angle_gamma 85.14
_symmetry_space_group_name_H-M 'P 1'
_symmetry_Int_Tables_number 1
loop_
_symmetry_equiv_pos_as_xyz
'x,y,z'
loop_
_atom_site_label
_atom_site_fract_x
_atom_site_fract_y
_atom_site_fract_z
_atom_site_occupancy
Mg1 0.000 0.000 0.000 1
Mg2 0.099 0.894 0.360 1
Mg3 0.503 0.502 0.501 1
Fe1 0.412 0.603 0.867 1
Fe2 0.595 0.402 0.134 1
Fe3 0.906 0.113 0.640 1
P1 0.040 0.306 0.302 1
P2 0.461 0.194 0.804 1
P3 0.541 0.809 0.199 1
P4 0.967 0.698 0.698 1
O1 0.059 0.756 0.868 1
O2 0.065 0.144 0.420 1
O3 0.185 0.561 0.642 1
O4 0.190 0.118 0.803 1
O5 0.308 0.386 0.298 1
O6 0.317 0.945 0.145 1
O7 0.440 0.350 0.922 1
O8 0.450 0.743 0.369 1
O9 0.549 0.258 0.633 1
O10 0.565 0.655 0.079 1
O11 0.677 0.054 0.861 1
O12 0.698 0.619 0.702 1
O13 0.809 0.886 0.202 1
O14 0.822 0.442 0.360 1
O15 0.947 0.249 0.132 1
O16 0.947 0.857 0.577 1
# **E_tot**: -7.486 eV/atom
# **Uncorrected formation energy**: -55.43 eV per formula unit
# **Fermi-level density of states**: 9.6 states/eV per cell

---

No. 12
# OsRuRh2 PBEsol optimized geometry
data_OsRuRh2
_chemical_formula_sum 'Os3 Ru3 Rh6'
_cell_length_a 2.6778
_cell_length_b 2.6778
_cell_length_c 26.2184
_cell_angle_alpha 90.00
_cell_angle_beta 90.00
_cell_angle_gamma 120.00
_symmetry_space_group_name_H-M 'R 3 m'
_symmetry_Int_Tables_number 160
_symmetry_space_group_name_Hall 'R 3 -2"'
loop_
_atom_site_label
_atom_site_fract_x
_atom_site_fract_y
_atom_site_fract_z
_atom_site_occupancy
Os1 0.0000 0.0000 0.0000 1
Ru1 0.0000 0.0000 0.2516 1
Rh1 0.0000 0.0000 0.5020 1
Rh2 0.0000 0.0000 0.7502 1
# **E_tot**: -9.628 eV/atom
# **Excess energy over the best structure of this formula in the dataset**: 4.4 meV/atom
# **Formation enthalpy at 0 K**: 0.038 eV per atom
# **Fermi-level density of states**: 12.5 states/eV per cell

---

No. 13
# Zr2ZnW PBEsol optimized geometry
data_Zr2ZnW
_chemical_formula_sum 'Zr4 Zn2 W2'
_cell_length_a 9.509
_cell_length_b 2.876
_cell_length_c 5.346
_cell_angle_alpha 90.00
_cell_angle_beta 96.60
_cell_angle_gamma 90.00
_symmetry_space_group_name_H-M 'C 1 2/m 1'
_symmetry_Int_Tables_number 12
loop_
_symmetry_equiv_pos_as_xyz
'x,y,z'
'-x,-y,-z'
'-x,y,-z'
'x,-y,z'
'x+1/2,y+1/2,z'
'-x+1/2,-y+1/2,-z'
'-x+1/2,y+1/2,-z'
'x+1/2,-y+1/2,z'
loop_
_atom_site_label
_atom_site_fract_x
_atom_site_fract_y
_atom_site_fract_z
_atom_site_occupancy
Zr1 0.243 0.000 0.249 1
Zn1 0.000 0.500 0.000 1
W1 0.000 0.000 0.500 1
# **E_tot**: -8.159 eV/atom
# **Formation enthalpy at 0 K**: 0.234 eV per atom
# **Fermi-level density of states**: 7.6 states/eV per cell

---

No. 14
# Ba4Nb2WO12 PBEsol optimized geometry
data_Ba4Nb2WO12
_chemical_formula_sum 'Ba12 Nb6 W3 O36'
_cell_length_a 5.7800
_cell_length_b 5.7800
_cell_length_c 28.0981
_cell_angle_alpha 90.00
_cell_angle_beta 90.00
_cell_angle_gamma 120.00
_symmetry_space_group_name_H-M 'R 3 m'
_symmetry_Int_Tables_number 160
_symmetry_space_group_name_Hall 'R 3 -2"'
loop_
_atom_site_label
_atom_site_fract_x
_atom_site_fract_y
_atom_site_fract_z
_atom_site_occupancy
Ba1 0.0000 0.0000 0.0000 1
Ba2 0.0000 0.0000 0.1530 1
Ba3 0.0000 0.0000 0.5746 1
Ba4 0.0000 0.0000 0.7298 1
Nb1 0.0000 0.0000 0.4404 1
Nb2 0.0000 0.0000 0.8638 1
W1 0.0000 0.0000 0.2858 1
O1 0.0148 0.5074 0.9843 1
O2 0.1675 0.3350 0.0766 1
O3 0.1688 0.3376 0.4922 1
O4 0.1697 0.3393 0.9064 1
# **E_tot**: -8.431 eV/atom
# **Uncorrected formation energy**: -53.15 eV per formula unit
# **Fermi-level density of states**: 0.0 states/eV per cell

---

No. 15
# HfTiO2F PBEsol optimized geometry
data_HfTiO2F
_chemical_formula_sum 'Hf1 Ti1 O2 F1'
_cell_length_a 3.890
_cell_length_b 3.890
_cell_length_c 3.858
_cell_angle_alpha 90.00
_cell_angle_beta 90.00
_cell_angle_gamma 90.00
_symmetry_space_group_name_H-M 'P 4/m m m'
_symmetry_Int_Tables_number 123
_symmetry_space_group_name_Hall '-P 4 2'
loop_
_atom_site_label
_atom_site_fract_x
_atom_site_fract_y
_atom_site_fract_z
_atom_site_occupancy
Hf1 0.000 0.000 0.000 1
Ti1 0.500 0.500 0.500 1
O1 0.000 0.500 0.500 1
F1 0.500 0.500 0.000 1
# **E_tot**: -8.155 eV/atom
# **Uncorrected formation energy**: -9.52 eV per formula unit
# **Fermi-level density of states**: 3.9 states/eV per cell

---

No. 16
# Sr2TaAl PBEsol optimized geometry
data_Sr2TaAl
_chemical_formula_sum 'Sr2 Ta1 Al1'
_cell_length_a 4.470
_cell_length_b 4.470
_cell_length_c 5.066
_cell_angle_alpha 90.00
_cell_angle_beta 90.00
_cell_angle_gamma 90.00
_symmetry_space_group_name_H-M 'P 4/m m m'
_symmetry_Int_Tables_number 123
_symmetry_space_group_name_Hall '-P 4 2'
loop_
_atom_site_label
_atom_site_fract_x
_atom_site_fract_y
_atom_site_fract_z
_atom_site_occupancy
Sr1 0.000 0.500 0.000 1
Ta1 0.000 0.000 0.500 1
Al1 0.500 0.500 0.500 1
# **E_tot**: -4.341 eV/atom
# **Formation enthalpy at 0 K**: 0.740 eV per atom
# **Fermi-level density of states**: 4.5 states/eV per cell

---

No. 17
# Zr2ZnAs PBEsol optimized geometry
data_Zr2ZnAs
_chemical_formula_sum 'Zr4 Zn2 As2'
_cell_length_a 3.818
_cell_length_b 3.742
_cell_length_c 10.123
_cell_angle_alpha 90.00
_cell_angle_beta 90.00
_cell_angle_gamma 90.00
_symmetry_space_group_name_H-M 'A m m 2'
_symmetry_Int_Tables_number 38
loop_
_symmetry_equiv_pos_as_xyz
'x,y,z'
'-x,-y,z'
'-x,y,z'
'x,-y,z'
'x,y+1/2,z+1/2'
'-x,-y+1/2,z+1/2'
'-x,y+1/2,z+1/2'
'x,-y+1/2,z+1/2'
loop_
_atom_site_label
_atom_site_fract_x
_atom_site_fract_y
_atom_site_fract_z
_atom_site_occupancy
Zr1 0.000 0.000 0.000 1
Zr2 0.500 0.000 0.295 1
Zn1 0.500 0.000 0.562 1
As1 0.000 0.000 0.724 1
# **E_tot**: -7.002 eV/atom
# **Formation enthalpy at 0 K**: -0.785 eV per atom
# **Fermi-level density of states**: 4.6 states/eV per cell

---

No. 18
# Tc PBEsol optimized geometry
data_Tc
_chemical_formula_sum 'Tc4'
_cell_length_a 2.7197
_cell_length_b 2.7197
_cell_length_c 8.7124
_cell_angle_alpha 90.00
_cell_angle_beta 90.00
_cell_angle_gamma 120.00
_symmetry_space_group_name_H-M 'P 63/m m c'
_symmetry_Int_Tables_number 194
_symmetry_space_group_name_Hall '-P 6c 2c'
loop_
_atom_site_label
_atom_site_fract_x
_atom_site_fract_y
_atom_site_fract_z
_atom_site_occupancy
Tc1 0.0000 0.0000 0.0000 1
Tc2 0.3333 0.6667 0.2500 1
# **E_tot**: -11.259 eV/atom
# **Excess energy over the best structure of this formula in the dataset**: 7.7 meV/atom
# **Formation enthalpy at 0 K**: 0.008 eV per atom
# **Fermi-level density of states**: 3.7 states/eV per cell

---

No. 19
# BaBeRh2 PBEsol optimized geometry
data_BaBeRh2
_chemical_formula_sum 'Ba1 Be1 Rh2'
_cell_length_a 2.974
_cell_length_b 3.610
_cell_length_c 6.552
_cell_angle_alpha 90.00
_cell_angle_beta 93.88
_cell_angle_gamma 90.00
_symmetry_space_group_name_H-M 'P 1 2/m 1'
_symmetry_Int_Tables_number 10
loop_
_symmetry_equiv_pos_as_xyz
'x,y,z'
'-x,-y,-z'
'-x,y,-z'
'x,-y,z'
loop_
_atom_site_label
_atom_site_fract_x
_atom_site_fract_y
_atom_site_fract_z
_atom_site_occupancy
Ba1 0.000 0.000 0.000 1
Be1 0.500 0.000 0.500 1
Rh1 0.251 0.500 0.668 1
# **E_tot**: -5.461 eV/atom
# **Formation enthalpy at 0 K**: 0.146 eV per atom
# **Fermi-level density of states**: 2.3 states/eV per cell

---

No. 20
# Te2Au PBEsol optimized geometry
data_Te2Au
_chemical_formula_sum 'Te2 Au1'
_cell_length_a 4.1599
_cell_length_b 4.1599
_cell_length_c 5.0571
_cell_angle_alpha 90.00
_cell_angle_beta 90.00
_cell_angle_gamma 120.00
_symmetry_space_group_name_H-M 'P -3 m 1'
_symmetry_Int_Tables_number 164
_symmetry_space_group_name_Hall '-P 3 2"'
loop_
_atom_site_label
_atom_site_fract_x
_atom_site_fract_y
_atom_site_fract_z
_atom_site_occupancy
Te1 0.3333 0.6667 0.2893 1
Au1 0.0000 0.0000 0.0000 1
# **E_tot**: -3.762 eV/atom
# **Uncorrected formation energy**: -0.31 eV per formula unit
# **Fermi-level density of states**: 1.5 states/eV per cell

---

M_tot for the records above, in order: 0.000 0.000 0.000 0.000 1.416 6.053 0.435 2.019 0.000 0.001 12.000 0.000 0.000 0.001 1.378 0.010 0.000 0.000 0.000 0.000 μB per formula unit